ErZrPO: relaxed, PBE. Values from VASP.

The value obtained for the electronic total energy is -0.565 Ry per atom. The value obtained for the polymorph energy (0 for the lowest one) is 0.80 eV/f.u. For the calculated volume, the calculation gives 80 Å³/f.u.

```
&SYSTEM
  ibrav = 0, nat = 8, ntyp = 4
/
ATOMIC_SPECIES
P 30.97 P.upf
Er 167.26 Er.upf
O 16.00 O.upf
Zr 91.22 Zr.upf
CELL_PARAMETERS angstrom
-2.899 2.547 0.528
-1.929 -3.484 6.213
3.427 3.297 2.913
ATOMIC_POSITIONS crystal
P 0.000 0.659 0.947
P 0.000 0.341 0.447
Er 0.000 0.289 0.949
Er 0.000 0.711 0.449
O 0.500 0.834 0.374
O 0.500 0.166 0.874
Zr 0.500 0.886 0.984
Zr 0.500 0.114 0.484
```